P | Material: Nd3PbSe
Method: DFT, PBE
State: relaxed

Output
Calculated volume = 652.6 Å³ per cell
Space group = P2_1/c
DOS(E_F) = 1.0362 states/eV/atom

Cell lengths 6.9350, 9.5546, 11.1256 Å; angles 117.71, 90.00, 90.00 degrees
With the nearest neighbours (Å) after each atom.
Element x y z (fractional)
Nd 0.0868 0.7181 0.6643  3 Se 2.87-2.97
Nd 0.9132 0.2819 0.3357  3 Se 2.87-2.97
Nd 0.5868 0.7819 0.8357  3 Se 2.87-2.97
Nd 0.4132 0.2181 0.1643  3 Se 2.87-2.97
Nd 0.5833 0.6720 0.4681  2 Se 2.85-2.91
Nd 0.4167 0.3280 0.5319  2 Se 2.85-2.91
Nd 0.0833 0.8280 0.0319  2 Se 2.85-2.91
Nd 0.9167 0.1720 0.9681  2 Se 2.85-2.91
Nd 0.1880 0.5826 0.1794  1 Se 2.95
Nd 0.8120 0.4174 0.8206  1 Se 2.95
Nd 0.6880 0.9174 0.3206  1 Se 2.95
Nd 0.3120 0.0826 0.6794  1 Se 2.95
Pb 0.7944 0.0103 0.6520  6 Nd 3.23-3.50
Pb 0.2056 0.9897 0.3480  6 Nd 3.23-3.50
Pb 0.2944 0.4897 0.8480  6 Nd 3.23-3.50
Pb 0.7056 0.5103 0.1520  6 Nd 3.23-3.50
Se 0.2349 0.4927 0.3979  6 Nd 2.85-2.97
Se 0.7651 0.5073 0.6021  6 Nd 2.85-2.97
Se 0.7349 0.0073 0.1021  6 Nd 2.85-2.97
Se 0.2651 0.9927 0.8979  6 Nd 2.85-2.97


Q | Material: Nd3PbSe
Method: DFT, PBE
State: relaxed

Output
Calculated volume = 617.5 Å³ per cell
Space group = Pnma
DOS(E_F) = 0.9577 states/eV/atom

Cell lengths 4.3465, 8.9315, 15.9058 Å; angles 90.00, 90.00, 90.00 degrees
With the nearest neighbours (Å) after each atom.
Element x y z (fractional)
Nd 0.2500 0.3444 0.5329  2 Se 2.95
Nd 0.7500 0.8241 0.2160  1 Se 2.88
Nd 0.7500 0.5228 0.8910  3 Se 2.95-2.98
Nd 0.7500 0.0228 0.6090  3 Se 2.95-2.98
Nd 0.7500 0.6556 0.4671  2 Se 2.95
Nd 0.2500 0.9772 0.3910  3 Se 2.95-2.98
Nd 0.2500 0.8444 0.9671  2 Se 2.95
Nd 0.7500 0.3241 0.2840  1 Se 2.88
Nd 0.2500 0.6759 0.7160  1 Se 2.88
Nd 0.2500 0.1759 0.7840  1 Se 2.88
Nd 0.7500 0.1556 0.0329  2 Se 2.95
Nd 0.2500 0.4772 0.1090  3 Se 2.95-2.98
Pb 0.7500 0.8990 0.8121  8 Nd 3.32-3.59
Pb 0.2500 0.1010 0.1879  8 Nd 3.32-3.59
Pb 0.7500 0.3990 0.6879  8 Nd 3.32-3.59
Pb 0.2500 0.6010 0.3121  8 Nd 3.32-3.59
Se 0.2500 0.3179 0.9466  6 Nd 2.88-2.98
Se 0.2500 0.8179 0.5534  6 Nd 2.88-2.98
Se 0.7500 0.1821 0.4466  6 Nd 2.88-2.98
Se 0.7500 0.6821 0.0534  6 Nd 2.88-2.98


In meV per atom, relative to the most stable structure: P 139; Q 0.


P | Material: Nd2PbSe
Method: DFT, PBE
State: relaxed

Output
Calculated volume = 489.2 Å³ per cell
Space group = I4_1/amd
DOS(E_F) = 0.2590 states/eV/atom

Cell lengths 6.2609, 6.2609, 12.4786 Å; angles 90.00, 90.00, 90.00 degrees
With the nearest neighbours (Å) after each atom.
Element x y z (fractional)
Nd 0.7498 0.0000 0.8686  3 Se 3.04-3.13, 3 Pb 3.13-3.20
Nd 0.2502 0.0000 0.1314  3 Se 3.04-3.13, 3 Pb 3.13-3.20
Nd 0.7498 0.5000 0.6314  3 Se 3.04-3.13, 3 Pb 3.13-3.20
Nd 0.2502 0.5000 0.3686  3 Se 3.04-3.13, 3 Pb 3.13-3.20
Nd 0.7501 0.4999 0.1185  3 Se 3.04-3.13, 3 Pb 3.13-3.20
Nd 0.2499 0.5001 0.8815  3 Se 3.04-3.13, 3 Pb 3.13-3.20
Nd 0.7501 0.0001 0.3815  3 Se 3.04-3.13, 3 Pb 3.13-3.20
Nd 0.2499 0.9999 0.6185  3 Se 3.04-3.13, 3 Pb 3.13-3.20
Pb 0.2498 0.4999 0.6250  6 Nd 3.13-3.20
Pb 0.7502 0.5001 0.3750  6 Nd 3.13-3.20
Pb 0.2498 0.0001 0.8750  6 Nd 3.13-3.20
Pb 0.7502 0.9999 0.1250  6 Nd 3.13-3.20
Se 0.2502 0.0000 0.3750  6 Nd 3.04-3.13
Se 0.7498 0.0000 0.6250  6 Nd 3.04-3.13
Se 0.2502 0.5000 0.1250  6 Nd 3.04-3.13
Se 0.7498 0.5000 0.8750  6 Nd 3.04-3.13


Q | Material: Nd2PbSe
Method: DFT, PBE
State: relaxed

Output
Calculated volume = 109.5 Å³ per cell
Space group = P4/mmm
DOS(E_F) = 0.9124 states/eV/atom

Cell lengths 3.6335, 3.6335, 8.2955 Å; angles 90.00, 90.00, 90.00 degrees
With the nearest neighbours (Å) after each atom.
Element x y z (fractional)
Pb 0.5000 0.5000 0.5000  8 Nd 3.43, 4 Pb 3.63
Nd 0.0000 0.0000 0.7744  4 Se 3.18, 4 Pb 3.43
Nd 0.0000 0.0000 0.2256  4 Se 3.18, 4 Pb 3.43
Se 0.5000 0.5000 0.0000  8 Nd 3.18


R | Material: Nd2PbSe
Method: DFT, PBE
State: relaxed

Output
Calculated volume = 121.8 Å³ per cell
Space group = R-3m
DOS(E_F) = 0.4251 states/eV/atom

Cell lengths 4.3865, 4.3865, 7.7336 Å; angles 73.52, 73.52, 60.00 degrees
With the nearest neighbours (Å) after each atom.
Element x y z (fractional)
Pb 0.5000 0.5000 0.5000  6 Nd 3.18
Nd 0.2546 0.2546 0.2362  3 Se 3.06, 3 Pb 3.18
Nd 0.7454 0.7454 0.7638  3 Se 3.06, 3 Pb 3.18
Se 0.0000 0.0000 0.0000  6 Nd 3.06


S | Material: Nd2PbSe
Method: DFT, PBE
State: relaxed

Output
Calculated volume = 120.4 Å³ per cell
Space group = R3m
DOS(E_F) = 0.6507 states/eV/atom

Cell lengths 4.0471, 4.0471, 8.8016 Å; angles 76.71, 76.71, 60.00 degrees
With the nearest neighbours (Å) after each atom.
Element x y z (fractional)
Nd 0.0704 0.0704 0.7887  3 Se 2.93
Nd 0.2629 0.2629 0.2113  3 Se 2.96
Pb 0.4993 0.4993 0.5020  6 Nd 3.37-3.40
Se 0.6673 0.6673 0.9980  6 Nd 2.93-2.96


In meV per atom, relative to the most stable structure: P 0; Q 145; R 24; S 88.


P | Material: Nd2SmPb3
Method: DFT, PBE
State: relaxed

Output
Calculated volume = 378.4 Å³ per cell
Space group = C2/c
DOS(E_F) = 0.8573 states/eV/atom

Cell lengths 5.9540, 8.7876, 8.7876 Å; angles 113.74, 103.84, 103.84 degrees
With the nearest neighbours (Å) after each atom.
Element x y z (fractional)
Nd 0.2500 0.9169 0.0831  6 Pb 3.29-3.36
Nd 0.2500 0.2493 0.7507  6 Pb 3.31-3.33
Nd 0.7500 0.0831 0.9169  6 Pb 3.29-3.36
Nd 0.7500 0.7507 0.2493  6 Pb 3.31-3.33
Sm 0.2500 0.5838 0.4162  6 Pb 3.28-3.30
Sm 0.7500 0.4162 0.5838  6 Pb 3.28-3.30
Pb 0.9976 0.1699 0.3348  2 Sm 3.28-3.30, 4 Nd 3.29-3.36
Pb 0.4976 0.3348 0.1699  2 Sm 3.28-3.30, 4 Nd 3.29-3.36
Pb 0.0000 0.5000 0.0000  2 Sm 3.29, 4 Nd 3.30-3.33
Pb 0.0024 0.8301 0.6652  2 Sm 3.28-3.30, 4 Nd 3.29-3.36
Pb 0.5000 0.0000 0.5000  2 Sm 3.29, 4 Nd 3.30-3.33
Pb 0.5024 0.6652 0.8301  2 Sm 3.28-3.30, 4 Nd 3.29-3.36


Q | Material: Nd2SmPb3
Method: DFT, PBE
State: relaxed

Output
Calculated volume = 358.8 Å³ per cell
Space group = Cmmm
DOS(E_F) = 0.7892 states/eV/atom

Cell lengths 5.0500, 8.1185, 9.2077 Å; angles 90.00, 89.99, 71.88 degrees
With the nearest neighbours (Å) after each atom.
Element x y z (fractional)
Nd 0.0000 0.0000 0.0000  8 Pb 3.41-3.45, 4 Sm 3.61
Nd 0.0000 0.0000 0.5000  8 Pb 3.42-3.47, 4 Nd 3.60
Nd 0.3334 0.3333 0.5000  8 Pb 3.43-3.46, 4 Nd 3.60
Nd 0.6666 0.6667 0.5000  8 Pb 3.43-3.46, 4 Nd 3.60
Sm 0.3329 0.3342 0.0000  8 Pb 3.40-3.45, 2 Sm 3.59, 2 Nd 3.61
Sm 0.6671 0.6658 0.0000  8 Pb 3.40-3.45, 2 Sm 3.59, 2 Nd 3.61
Pb 0.8330 0.3344 0.7518  3 Sm 3.40-3.43, 5 Nd 3.43-3.47, 4 Pb 3.59-3.61
Pb 0.4995 0.0000 0.2485  6 Nd 3.41-3.46, 2 Sm 3.45, 4 Pb 3.61
Pb 0.1670 0.6656 0.2482  3 Sm 3.40-3.43, 5 Nd 3.43-3.47, 4 Pb 3.59-3.61
Pb 0.8325 0.3344 0.2482  3 Sm 3.40-3.43, 5 Nd 3.43-3.47, 4 Pb 3.59-3.61
Pb 0.1675 0.6656 0.7518  3 Sm 3.40-3.43, 5 Nd 3.43-3.47, 4 Pb 3.59-3.61
Pb 0.5005 0.0000 0.7515  6 Nd 3.41-3.46, 2 Sm 3.45, 4 Pb 3.61


In meV per atom, relative to the most stable structure: P 25; Q 0.


P | Material: NdSmPb
Method: DFT, PBE
State: relaxed

Output
Calculated volume = 90.8 Å³ per cell
Space group = I4mm
DOS(E_F) = 1.3506 states/eV/atom

Cell lengths 4.2318, 4.2318, 5.8883 Å; angles 111.06, 111.06, 90.00 degrees
With the nearest neighbours (Å) after each atom.
Element x y z (fractional)
Pb 0.2819 0.2819 0.5638  5 Sm 3.38-3.50, 5 Nd 3.40-3.46
Nd 0.9412 0.9412 0.8824  5 Sm 3.19-3.54, 5 Pb 3.40-3.46
Sm 0.6269 0.6269 0.2538  5 Nd 3.19-3.54, 5 Pb 3.38-3.50


Q | Material: NdSmPb
Method: DFT, PBE
State: relaxed

Output
Calculated volume = 194.1 Å³ per cell
Space group = P4/nmm
DOS(E_F) = 1.1682 states/eV/atom

Cell lengths 4.6721, 4.6721, 8.8917 Å; angles 90.00, 90.00, 90.00 degrees
With the nearest neighbours (Å) after each atom.
Element x y z (fractional)
Nd 0.0000 0.5000 0.8469  5 Pb 3.30-3.35
Nd 0.5000 0.0000 0.1531  5 Pb 3.30-3.35
Sm 0.5000 0.5000 0.5000  4 Sm 3.30, 4 Pb 3.42
Sm 0.0000 0.0000 0.5000  4 Sm 3.30, 4 Pb 3.42
Pb 0.0000 0.5000 0.2186  5 Nd 3.30-3.35, 4 Sm 3.42
Pb 0.5000 0.0000 0.7814  5 Nd 3.30-3.35, 4 Sm 3.42


In meV per atom, relative to the most stable structure: P 112; Q 0.


P | Material: NdSmPb
Method: DFT, PBE
State: relaxed

Output
Calculated volume = 199.4 Å³ per cell
Space group = C2/m
DOS(E_F) = 1.1226 states/eV/atom

Cell lengths 4.6734, 5.6877, 8.6060 Å; angles 105.53, 90.00, 114.26 degrees
With the nearest neighbours (Å) after each atom.
Element x y z (fractional)
Nd 0.3842 0.7684 0.0849  1 Nd 3.16, 3 Pb 3.27-3.39
Nd 0.6158 0.2316 0.9151  1 Nd 3.16, 3 Pb 3.27-3.39
Sm 0.8202 0.6403 0.3721  3 Pb 3.20-3.34
Sm 0.1798 0.3597 0.6279  3 Pb 3.20-3.34
Pb 0.8902 0.7804 0.7762  3 Sm 3.20-3.34, 5 Nd 3.27-3.55
Pb 0.1098 0.2196 0.2238  3 Sm 3.20-3.34, 5 Nd 3.27-3.55


Q | Material: NdSmPb
Method: DFT, PBE
State: relaxed

Output
Calculated volume = 198.6 Å³ per cell
Space group = Cmcm
DOS(E_F) = 1.1775 states/eV/atom

Cell lengths 6.0248, 3.5581, 9.4319 Å; angles 79.13, 90.00, 90.00 degrees
With the nearest neighbours (Å) after each atom.
Element x y z (fractional)
Sm 0.7500 0.6684 0.6632  5 Pb 3.20-3.50, 2 Sm 3.56
Sm 0.2500 0.3316 0.3368  5 Pb 3.20-3.50, 2 Sm 3.56
Nd 0.5000 0.0000 0.0000  2 Nd 3.01, 2 Pb 3.31
Nd 0.0000 0.0000 0.0000  2 Nd 3.01, 2 Pb 3.31
Pb 0.7500 0.8410 0.3180  5 Sm 3.20-3.50, 2 Nd 3.31, 2 Pb 3.56
Pb 0.2500 0.1590 0.6820  5 Sm 3.20-3.50, 2 Nd 3.31, 2 Pb 3.56


In meV per atom, relative to the most stable structure: P 0; Q 91.


P | Material: NdSnPb2
Method: DFT, PBE
State: relaxed

Output
Calculated volume = 116.5 Å³ per cell
Space group = P4/mmm
DOS(E_F) = 0.5401 states/eV/atom

Cell lengths 4.8951, 4.8786, 4.8786 Å; angles 90.00, 90.00, 90.00 degrees
With the nearest neighbours (Å) after each atom.
Element x y z (fractional)
Pb 0.0000 0.0000 0.5000  4 Pb 3.45, 4 Sn 3.46, 4 Nd 3.46
Pb 0.0000 0.5000 0.0000  4 Pb 3.45, 4 Sn 3.46, 4 Nd 3.46
Nd 0.5000 0.0000 0.0000  4 Sn 3.45, 8 Pb 3.46
Sn 0.5000 0.5000 0.5000  4 Nd 3.45, 8 Pb 3.46


Q | Material: NdSnPb2
Method: DFT, PBE
State: relaxed

Output
Calculated volume = 130.3 Å³ per cell
Space group = R-3m
DOS(E_F) = 0.5331 states/eV/atom

Cell lengths 3.5539, 3.5539, 12.0834 Å; angles 81.54, 81.54, 60.00 degrees
With the nearest neighbours (Å) after each atom.
Element x y z (fractional)
Pb 0.0912 0.0912 0.7263  1 Nd 3.26, 3 Sn 3.39, 6 Pb 3.55
Pb 0.9088 0.9088 0.2737  1 Nd 3.26, 3 Sn 3.39, 6 Pb 3.55
Nd 0.0000 0.0000 0.0000  2 Pb 3.26, 6 Nd 3.55
Sn 0.5000 0.5000 0.5000  6 Pb 3.39, 6 Sn 3.55


In meV per atom, relative to the most stable structure: P 0; Q 505.